Record 1
GdHoMn2: optimized geometry, PBE.

Crystal system ... tetragonal
Formation energy from the elements ... 0.18 eV per atom
Fermi-level density of states ... 1.2003 states/eV per atom
E_tot ... -9.07 eV per atom
Offset from the most stable computed form ... 1 kJ/mol of formula units

Unit cell a=5.0257 b=5.0257 c=3.4566 alpha=90.00 beta=90.00 gamma=90.00
Last column: nearest neighbours and their distance in Å.
Positions (direct):
Gd  0.0000  0.0000  0.0000  8 Mn 3.05
Ho  0.5000  0.5000  0.0000  8 Mn 3.05
Mn  0.0000  0.5000  0.5000  4 Gd 3.05, 4 Ho 3.05
Mn  0.5000  0.0000  0.5000  4 Gd 3.05, 4 Ho 3.05


Record 2
GdHoMnNi: optimized geometry, PBE.

Crystal system ... cubic
Formation energy from the elements ... -0.01 eV per atom
Fermi-level density of states ... 1.4960 states/eV per atom
E_tot ... -8.42 eV per atom

Unit cell a=4.8937 b=4.8937 c=4.8937 alpha=60.00 beta=60.00 gamma=60.00
Last column: nearest neighbours and their distance in Å.
Positions (direct):
Gd  0.0000  0.0000  0.0000  4 Ni 3.00, 4 Mn 3.00
Ho  0.5000  0.5000  0.5000  4 Ni 3.00, 4 Mn 3.00
Mn  0.2500  0.2500  0.2500  4 Gd 3.00, 4 Ho 3.00
Ni  0.7500  0.7500  0.7500  4 Gd 3.00, 4 Ho 3.00


Record 3
GdHoMnOs: optimized geometry, PBE.

Crystal system ... cubic
Formation energy from the elements ... 0.01 eV per atom
Fermi-level density of states ... 0.6360 states/eV per atom
E_tot ... -9.76 eV per atom

Unit cell a=4.9061 b=4.9061 c=4.9061 alpha=60.00 beta=60.00 gamma=60.00
Last column: nearest neighbours and their distance in Å.
Positions (direct):
Gd  0.0000  0.0000  0.0000  4 Mn 3.00, 4 Os 3.00
Ho  0.5000  0.5000  0.5000  4 Mn 3.00, 4 Os 3.00
Mn  0.7500  0.7500  0.7500  4 Gd 3.00, 4 Ho 3.00
Os  0.2500  0.2500  0.2500  4 Gd 3.00, 4 Ho 3.00